# CdSn2BrClO2 (PBE, relaxed)
# Total energy   -4.313 eV per atom
data_CdSn2BrClO2
_cell_length_a 12.5336
_cell_length_b 3.7837
_cell_length_c 7.8467
_cell_angle_alpha 90.00
_cell_angle_beta 121.93
_cell_angle_gamma 90.00
_space_group_name_H-M_alt 'C 1 m 1'
_space_group_IT_number 8
_space_group_name_Hall 'C -2y'
loop_
_atom_site_label
_atom_site_type_symbol
_atom_site_fract_x
_atom_site_fract_y
_atom_site_fract_z
_atom_site_occupancy
Cd1 Cd 0.0000 0.0000 0.0000 1
Sn1 Sn 0.1937 0.0000 0.7866 1
Sn2 Sn 0.3105 0.5000 0.2298 1
Br1 Br 0.0647 0.5000 0.3061 1
Cl1 Cl 0.4427 0.0000 0.7230 1
O1 O 0.2000 0.0000 0.0709 1
O2 O 0.3033 0.5000 0.9423 1



# Nd2CuTe3 (PBE, relaxed)
# ΔE to the lowest computed polymorph   0.00 eV/f.u.
data_Nd2CuTe3
_cell_length_a 11.5172
_cell_length_b 4.2336
_cell_length_c 14.4534
_cell_angle_alpha 90.00
_cell_angle_beta 90.00
_cell_angle_gamma 90.00
_space_group_name_H-M_alt 'P n m a'
_space_group_IT_number 62
_space_group_name_Hall '-P 2ac 2n'
loop_
_atom_site_label
_atom_site_type_symbol
_atom_site_fract_x
_atom_site_fract_y
_atom_site_fract_z
_atom_site_occupancy
Nd1 Nd 0.0182 0.2500 0.2456 1
Nd2 Nd 0.2217 0.7500 0.5122 1
Cu1 Cu 0.2338 0.2500 0.7214 1
Te1 Te 0.0512 0.2500 0.6031 1
Te2 Te 0.0995 0.7500 0.0966 1
Te3 Te 0.2339 0.7500 0.8394 1



# Ho3Cu4Si2Ge2 (PBE, relaxed)
# ΔE to the lowest computed polymorph   0.09 eV/f.u.
data_Ho3Cu4Si2Ge2
_cell_length_a 4.1652
_cell_length_b 6.5787
_cell_length_c 13.7559
_cell_angle_alpha 90.00
_cell_angle_beta 90.00
_cell_angle_gamma 90.00
_space_group_name_H-M_alt 'I m m m'
_space_group_IT_number 71
_space_group_name_Hall '-I 2 2'
loop_
_atom_site_label
_atom_site_type_symbol
_atom_site_fract_x
_atom_site_fract_y
_atom_site_fract_z
_atom_site_occupancy
Ho1 Ho 0.0000 0.0000 0.0000 1
Ho2 Ho 0.0000 0.5000 0.1295 1
Cu1 Cu 0.0000 0.3097 0.3365 1
Si1 Si 0.0000 0.1836 0.5000 1
Ge1 Ge 0.0000 0.0000 0.2168 1



Number 1: calculated volume 315.80 Å³/cell. Number 2: calculated volume 704.74 Å³/cell. Number 3: calculated volume 376.93 Å³/cell.